[1]
# AlCr2Os

Crystalline AlCr2Os at its relaxed geometry (PBE, Alexandria).

Unit cell a=2.9649 b=2.9648 c=5.8883 alpha=90.00 beta=90.00 gamma=90.00
Site moments in Bohr magnetons follow the coordinates.
Positions (direct):
Cr 0.0000 0.0000 0.0210  1.11
Cr 0.5000 0.5000 0.2268  -0.69
Os 0.0000 0.0000 0.4972  0.21
Al 0.5000 0.5000 0.7550  -0.01

Output
* density of states at the Fermi level: 0.89 states/eV/atom
* size of the total moment: 0.704 μB/cell
* raw total energy: -8.66 eV per atom
* E_form: -0.1073 eV/atom

***

[2]
# Hf2NbI

Crystalline Hf2NbI at its relaxed geometry (PBE, Alexandria).

Unit cell a=4.9625 b=4.9625 c=4.9625 alpha=60.00 beta=60.00 gamma=60.00
Positions (direct):
I 0.5000 0.5000 0.5000
Nb 0.0000 0.0000 0.0000
Hf 0.2500 0.2500 0.2500
Hf 0.7500 0.7500 0.7500

Output
* density of states at the Fermi level: 1.14 states/eV/atom
* size of the total moment: 0.000 μB/cell
* formation energy (no corrections): 0.471 eV/atom
* raw total energy: -7.41 eV per atom
* distance to the lowest polymorph of the same formula: 0 meV per atom

***

[3]
# V2FePt6

Crystalline V2FePt6 at its relaxed geometry (PBE, Alexandria).

Unit cell a=2.7566 b=7.4527 c=7.4527 alpha=120.00 beta=90.00 gamma=90.00
Site moments in Bohr magnetons follow the coordinates.
Positions (direct):
V 0.0000 0.6666 0.3333  -0.46
V 0.0000 0.3333 0.6666  -0.46
Fe 0.5000 0.0000 0.0000  2.90
Pt 0.5000 0.3641 0.3641  0.03
Pt 0.5000 0.6359 0.0000  0.03
Pt 0.5000 0.0000 0.6359  0.03
Pt 0.0000 0.6988 0.6988  0.08
Pt 0.0000 0.3013 0.0000  0.08
Pt 0.0000 0.0000 0.3013  0.08

Output
* density of states at the Fermi level: 0.69 states/eV/atom
* size of the total moment: 2.213 μB/cell
* raw total energy: -7.39 eV per atom
* E_form: -0.3939 eV/atom